# 1
Below is a relaxed structure of SmGd2In3Co3, with properties calculated at the PBE level.

Properties
The calculated volume comes out at 185.0 Å³ per cell. For the spin magnetization, the calculation gives 0.0004 μB/atom. For the total energy, the calculation gives -0.1881 Ha/atom.

abc: 3.8953 7.4026 7.4026
angles: 119.93 90.00 90.00
Closest atoms and distances in Å follow each position.
Fractional coordinates of all 9 atoms:
Gd: 0.0000 0.5897 0.9999  5 Co 2.96-3.03, 6 In 3.17-3.29
Gd: 0.0000 0.9999 0.5897  5 Co 2.96-3.03, 6 In 3.17-3.29
In: 0.5000 0.2514 0.9983  4 Co 2.70-2.83
Co: 0.0000 0.9992 0.9992  6 In 2.69-2.70
Co: 0.5000 0.6676 0.3328  3 In 2.80-2.83, 4 Gd 2.96-2.97, 2 Sm 2.97
Sm: 0.0000 0.4114 0.4114  5 Co 2.97-3.05, 6 In 3.18-3.31
In: 0.5000 0.9983 0.2514  4 Co 2.70-2.83
Co: 0.5000 0.3328 0.6676  3 In 2.80-2.83, 4 Gd 2.96-2.97, 2 Sm 2.97
In: 0.5000 0.7497 0.7497  4 Co 2.69-2.83

***

# 2
Below is a relaxed structure of Na2CdPt, with properties calculated at the PBE level.

Properties
The calculated volume comes out at 79.1 Å³ per cell. For the spin magnetization, the calculation gives 0.0000 μB/atom. For the total energy, the calculation gives -0.0954 Ha/atom.

abc: 4.8183 4.8183 4.8183
angles: 60.00 60.00 60.00
Closest atoms and distances in Å follow each position.
Fractional coordinates of all 4 atoms:
Cd: 0.7500 0.7500 0.7500  4 Pt 2.95, 4 Na 2.95
Na: 0.0000 0.0000 0.0000  4 Cd 2.95, 4 Na 2.95
Pt: 0.5000 0.5000 0.5000  4 Cd 2.95, 4 Na 2.95
Na: 0.2500 0.2500 0.2500  4 Pt 2.95, 4 Na 2.95

***

# 3
Below is a relaxed structure of HfSnB2, with properties calculated at the PBE level.

Properties
The calculated volume comes out at 64.6 Å³ per cell. For the spin magnetization, the calculation gives 0.0010 μB/atom. For the total energy, the calculation gives -0.1937 Ha/atom.

abc: 4.5039 4.5039 4.5039
angles: 60.00 60.00 60.00
Closest atoms and distances in Å follow each position.
Fractional coordinates of all 4 atoms:
B: 0.2500 0.2500 0.2500  4 B 2.76, 4 Hf 2.76
B: 0.0000 0.0000 0.0000  4 B 2.76, 4 Sn 2.76
Hf: 0.5000 0.5000 0.5000  4 Sn 2.76, 4 B 2.76
Sn: 0.7500 0.7500 0.7500  4 Hf 2.76, 4 B 2.76

***

Theoretical density: 8.9, 7.4, 8.2 (g/cm3)